1.
This record from Alexandria via LeMat-Bulk describes a geometry-optimized Er4PuSc structure. The functional is PBE-GGA.

The structure belongs to space group Cmc2_1 (No. 36); the cell edges are 3.456, 17.897 and 11.125 Å and the angles 90.00°, 90.00° and 90.00°. The distinct sites, in fractional coordinates, are Er at (0.000, 0.000, 0.000), Er at (0.000, 0.115, 0.253), Er at (0.000, 0.330, 0.494), Er at (0.000, 0.442, 0.248), Pu at (0.000, 0.332, 0.002) and Sc at (0.000, 0.222, 0.745).

The value obtained for the formation energy is 25 kJ/mol of formula units. The value obtained for the density of states at the Fermi level is 46.95 states/eV per cell. For the magnetization, the calculation gives 23.81 Bohr magnetons per cell. For the mass density, the calculation gives 9.2 g/cm3.

=====

2.
This record from Alexandria via LeMat-Bulk describes a geometry-optimized Er3PuSc structure. The functional is PBE-GGA.

The structure belongs to space group C2/m (No. 12); the cell edges are 5.462, 11.579 and 9.360 Å and the angles 90.00°, 105.29° and 90.00°. The distinct sites, in fractional coordinates, are Er at (0.139, 0.192, 0.339), Er at (0.159, 0.500, 0.358), Pu at (0.069, 0.000, 0.145) and Sc at (0.000, 0.347, 0.000).

The value obtained for the formation energy is 127 kJ/mol of formula units. The value obtained for the density of states at the Fermi level is 27.88 states/eV per cell. For the magnetization, the calculation gives 21.88 Bohr magnetons per cell. For the mass density, the calculation gives 9.2 g/cm3.

=====

3.
This record from Alexandria via LeMat-Bulk describes a geometry-optimized Er3PuSc7 structure. The functional is PBE-GGA.

The structure belongs to space group C2/m (No. 12); the cell edges are 11.803, 10.533 and 5.390 Å and the angles 90.00°, 117.09° and 90.00°. The distinct sites, in fractional coordinates, are Er at (0.000, 0.000, 0.000), Er at (0.000, 0.207, 0.500), Pu at (0.000, 0.500, 0.000), Sc at (0.000, 0.500, 0.500), Sc at (0.204, 0.204, 0.204) and Sc at (0.217, 0.000, 0.717).

The value obtained for the formation energy is 328 kJ/mol of formula units. The value obtained for the density of states at the Fermi level is 39.09 states/eV per cell. For the magnetization, the calculation gives 12.00 Bohr magnetons per cell. For the mass density, the calculation gives 5.9 g/cm3.

=====

4.
This record from Alexandria via LeMat-Bulk describes a geometry-optimized ErPuSc6 structure. The functional is PBE-GGA.

The structure belongs to space group R-3m (No. 166, hexagonal axes); the cell edges are 10.6770, 10.6770 and 6.1925 Å and the angles 90.00°, 90.00° and 120.00°. The distinct sites, in fractional coordinates, are Er at (0.0000, 0.0000, 0.0000), Pu at (0.0000, 0.0000, 0.5000) and Sc at (0.0087, 0.5043, 0.2506).

The value obtained for the formation energy is 184 kJ/mol of formula units. The value obtained for the density of states at the Fermi level is 49.55 states/eV per cell. For the magnetization, the calculation gives 21.06 Bohr magnetons per cell. For the mass density, the calculation gives 5.5 g/cm3.

=====

5.
This record from Alexandria via LeMat-Bulk describes a geometry-optimized Er6PuSc2 structure. The functional is PBE-GGA.

The structure belongs to space group C2/m (No. 12); the cell edges are 5.478, 9.480 and 9.903 Å and the angles 90.00°, 90.08° and 90.00°. The distinct sites, in fractional coordinates, are Er at (0.000, 0.000, 0.168), Er at (0.000, 0.333, 0.328), Pu at (0.000, 0.000, 0.500) and Sc at (0.000, 0.333, 0.000).

The value obtained for the formation energy is 96 kJ/mol of formula units. The value obtained for the density of states at the Fermi level is 35.49 states/eV per cell. For the magnetization, the calculation gives 13.13 Bohr magnetons per cell. For the mass density, the calculation gives 8.6 g/cm3.

=====

6.
This record from Alexandria via LeMat-Bulk describes a geometry-optimized ErPu2Sc6 structure. The functional is PBE-GGA.

The structure belongs to space group P-31m (No. 162); the cell edges are 5.4815, 5.4815 and 10.4424 Å and the angles 90.00°, 90.00° and 120.00°. The distinct sites, in fractional coordinates, are Er at (0.0000, 0.0000, 0.0000), Pu at (0.3333, 0.6667, 0.5000) and Sc at (0.0000, 0.3359, 0.2513).

The value obtained for the formation energy is 506 kJ/mol of formula units. The value obtained for the density of states at the Fermi level is 20.55 states/eV per cell. For the magnetization, the calculation gives 13.37 Bohr magnetons per cell. For the mass density, the calculation gives 5.7 g/cm3.

=====

7.
This record from Alexandria via LeMat-Bulk describes a geometry-optimized ErPu2Sc6 structure. The functional is PBE-GGA.

The structure belongs to space group C2/c (No. 15); the cell edges are 12.303, 10.924 and 8.462 Å and the angles 90.00°, 126.74° and 90.00°. The distinct sites, in fractional coordinates, are Er at (0.000, 0.166, 0.250), Pu at (0.182, 0.405, 0.429), Sc at (0.045, 0.372, 0.969), Sc at (0.105, 0.094, 0.691) and Sc at (0.232, 0.155, 0.143).

The value obtained for the formation energy is 105 kJ/mol of formula units. The value obtained for the density of states at the Fermi level is 71.64 states/eV per cell. For the magnetization, the calculation gives 49.22 Bohr magnetons per cell. For the mass density, the calculation gives 6.7 g/cm3.

=====

8.
This record from Alexandria via LeMat-Bulk describes a geometry-optimized ErPuSc structure. The functional is PBE-GGA.

The structure belongs to space group P-6m2 (No. 187); the cell edges are 5.3615, 5.3615 and 3.2120 Å and the angles 90.00°, 90.00° and 120.00°. The distinct sites, in fractional coordinates, are Er at (0.0000, 0.0000, 0.0000), Pu at (0.3333, 0.6667, 0.5000) and Sc at (0.6667, 0.3333, 0.5000).

The value obtained for the formation energy is 40 kJ/mol of formula units. The value obtained for the density of states at the Fermi level is 9.41 states/eV per cell. For the magnetization, the calculation gives 5.95 Bohr magnetons per cell. For the mass density, the calculation gives 9.5 g/cm3.

=====

Please write out number 4 again, unchanged.
This record from Alexandria via LeMat-Bulk describes a geometry-optimized ErPuSc6 structure. The functional is PBE-GGA.

The structure belongs to space group R-3m (No. 166, hexagonal axes); the cell edges are 10.6770, 10.6770 and 6.1925 Å and the angles 90.00°, 90.00° and 120.00°. The distinct sites, in fractional coordinates, are Er at (0.0000, 0.0000, 0.0000), Pu at (0.0000, 0.0000, 0.5000) and Sc at (0.0087, 0.5043, 0.2506).

The value obtained for the formation energy is 184 kJ/mol of formula units. The value obtained for the density of states at the Fermi level is 49.55 states/eV per cell. For the magnetization, the calculation gives 21.06 Bohr magnetons per cell. For the mass density, the calculation gives 5.5 g/cm3.

=====

> What is the formula in the eighth record?

ErPuSc